--- A ---
The following is a DFT calculation (PBE) of crystalline AcURh4 at its relaxed geometry.

Unit cell a=7.663 b=7.663 c=7.663 alpha=90.00 beta=90.00 gamma=90.00
Space group F-43m (No. 216)
Unique sites:
1 Ac 0.000 0.000 0.000
2 U 0.250 0.250 0.750
3 Rh 0.124 0.124 0.376

***

--- B ---
The following is a DFT calculation (PBE) of crystalline AcURh4 at its relaxed geometry.

Unit cell a=8.131 b=4.011 c=7.325 alpha=90.00 beta=90.00 gamma=90.00
Space group Pmma (No. 51)
Unique sites:
1 Ac 0.250 0.000 0.169
2 U 0.250 0.000 0.728
3 Rh 0.000 0.000 0.500
4 Rh 0.049 0.500 0.815
5 Rh 0.250 0.500 0.485

***

Of them, A has the lowest stability.